Below is a geometry-optimized CdAg4Sb structure, with properties calculated at the PBE level.

a = 5.5930 Å, b = 5.5930 Å, c = 5.5930 Å
α = 60.00°, β = 60.00°, γ = 60.00°
Atoms (fractional coordinates):
Ag: 0.3754 0.8738 0.3754
Ag: 0.3754 0.3754 0.8738
Ag: 0.3754 0.3754 0.3754
Cd: 0.7500 0.7500 0.7500
Ag: 0.8738 0.3754 0.3754
Sb: 0.0000 0.0000 0.0000

Computed properties:
Final energy in eV/atom: -2.65
SG: F-43m (216)
Calculated volume in Å³ per atom: 20.6

Below is a geometry-optimized CaPmDy4S8 structure, with properties calculated at the PBE level.

a = 8.1036 Å, b = 8.1036 Å, c = 8.1517 Å
α = 60.19°, β = 60.19°, γ = 60.00°
Atoms (fractional coordinates):
Dy: 0.4942 0.0018 0.5021
S: 0.2289 0.7534 0.2643
Ca: 0.3743 0.3743 0.8771
Dy: 0.0018 0.0018 0.5021
S: 0.7793 0.2441 0.7324
S: 0.2393 0.2393 0.2821
Dy: 0.0018 0.4942 0.5021
Dy: 0.6254 0.6254 0.1239
Pm: 0.0018 0.0018 0.9945
S: 0.7534 0.7534 0.2643
S: 0.7581 0.7581 0.7257
S: 0.2441 0.2441 0.7324
S: 0.2441 0.7793 0.7324
S: 0.7534 0.2289 0.2643

Computed properties:
Final energy in eV/atom: -6.15
SG: R3m (160)
Calculated volume in Å³ per atom: 27.1

Below is a geometry-optimized TiNi2Mo2 structure, with properties calculated at the PBE level.

a = 7.4346 Å, b = 7.4346 Å, c = 2.6243 Å
α = 90.00°, β = 90.00°, γ = 90.00°
Last column: magnetic moment on the atom in μB.
Atoms (fractional coordinates):
Ti: 0.0000 0.0000 0.0000  0.05
Ni: 0.3251 0.1749 0.5000  0.00
Mo: 0.8777 0.6223 0.0000  0.00
Mo: 0.6223 0.1223 0.0000  0.00
Ni: 0.1749 0.6749 0.5000  0.00
Ti: 0.5000 0.5000 0.0000  0.05
Mo: 0.3777 0.8777 0.0000  0.00
Ni: 0.8251 0.3251 0.5000  0.00
Ni: 0.6749 0.8251 0.5000  0.00
Mo: 0.1223 0.3777 0.0000  0.00

Computed properties:
Final energy in eV/atom: -8.10
SG: P4/mbm (127)
Calculated volume in Å³ per atom: 14.5